No. 1
Material: ZnReTc
Method: DFT, PBE-GGA
State: optimized geometry

For the volume, the calculation gives 14.94 A^3/atom. The value obtained for the total energy is -93.9 eV per cell. The calculation puts the formation energy at 0.203 eV/atom.

It has space group Fmm2 (No. 42), with a = 2.861 Å, b = 4.605 Å, c = 13.609 Å, α = 90.00°, β = 90.00° and γ = 90.00°. Symmetry generates all atoms from Zn at (0.000, 0.000, 0.000), Re at (0.000, 0.000, 0.329) and Tc at (0.000, 0.000, 0.669).



No. 2
Material: Zn2ReTc
Method: DFT, PBE-GGA
State: optimized geometry

For the volume, the calculation gives 14.55 A^3/atom. The value obtained for the total energy is -24.1 eV per cell. The calculation puts the formation energy at 0.318 eV/atom.

It has space group Pmmm (No. 47), with a = 2.616 Å, b = 4.217 Å, c = 5.278 Å, α = 90.00°, β = 90.00° and γ = 90.00°. Symmetry generates all atoms from Zn at (0.000, 0.000, 0.250), Re at (0.500, 0.500, 0.000) and Tc at (0.500, 0.500, 0.500).



No. 3
Material: ZnRe3Tc
Method: DFT, PBE-GGA
State: optimized geometry

For the volume, the calculation gives 20.44 A^3/atom. The value obtained for the total energy is -38.3 eV per cell. The calculation puts the formation energy at 2.144 eV/atom.

It has space group Pm-3m (No. 221), with a = 4.675 Å, b = 4.675 Å, c = 4.675 Å, α = 90.00°, β = 90.00° and γ = 90.00°. Symmetry generates all atoms from Zn at (0.000, 0.000, 0.000), Re at (0.000, 0.500, 0.500) and Tc at (0.500, 0.500, 0.500).



No. 4
Material: ZnReTc2
Method: DFT, PBE-GGA
State: optimized geometry

For the volume, the calculation gives 14.61 A^3/atom. The value obtained for the total energy is -34.1 eV per cell. The calculation puts the formation energy at 0.081 eV/atom.

It has space group P4/mmm (No. 123), with a = 2.790 Å, b = 2.790 Å, c = 7.505 Å, α = 90.00°, β = 90.00° and γ = 90.00°. Symmetry generates all atoms from Zn at (0.000, 0.000, 0.000), Re at (0.000, 0.000, 0.500) and Tc at (0.500, 0.500, 0.253).



No. 5
Material: ZnReTc2
Method: DFT, PBE-GGA
State: optimized geometry

For the volume, the calculation gives 14.60 A^3/atom. The value obtained for the total energy is -33.9 eV per cell. The calculation puts the formation energy at 0.132 eV/atom.

It has space group P4mm (No. 99), with a = 2.771 Å, b = 2.771 Å, c = 7.608 Å, α = 90.00°, β = 90.00° and γ = 90.00°. Symmetry generates all atoms from Zn at (0.000, 0.000, 0.000), Re at (0.500, 0.500, 0.256), Tc at (0.000, 0.000, 0.504) and Tc at (0.500, 0.500, 0.746).



No. 6
Material: ZnReTc
Method: DFT, PBE-GGA
State: optimized geometry

For the volume, the calculation gives 14.77 A^3/atom. The value obtained for the total energy is -47.7 eV per cell. The calculation puts the formation energy at 0.076 eV/atom.

It has space group P-1 (No. 2), with a = 2.782 Å, b = 4.396 Å, c = 7.381 Å, α = 89.99°, β = 79.16° and γ = 89.90°. Symmetry generates all atoms from Zn at (0.222, 0.250, 0.055), Re at (0.451, 0.750, 0.603) and Tc at (0.107, 0.750, 0.285).



No. 7
Material: Zn2ReTc
Method: DFT, PBE-GGA
State: optimized geometry

For the volume, the calculation gives 14.52 A^3/atom. The value obtained for the total energy is -49.4 eV per cell. The calculation puts the formation energy at 0.161 eV/atom.

It has space group Cm (No. 8), with a = 8.874 Å, b = 2.746 Å, c = 4.805 Å, α = 90.00°, β = 97.31° and γ = 90.00°. Symmetry generates all atoms from Zn at (0.000, 0.000, 0.000), Zn at (0.246, 0.000, 0.789), Re at (0.498, 0.000, 0.497) and Tc at (0.248, 0.500, 0.293).



No. 8
Material: Zn2ReTc
Method: DFT, PBE-GGA
State: optimized geometry

For the volume, the calculation gives 14.90 A^3/atom. The value obtained for the total energy is -49.5 eV per cell. The calculation puts the formation energy at 0.149 eV/atom.

It has space group Cmm2 (No. 35), with a = 2.900 Å, b = 4.584 Å, c = 8.966 Å, α = 90.00°, β = 90.00° and γ = 90.00°. Symmetry generates all atoms from Zn at (0.000, 0.000, 0.000), Zn at (0.000, 0.500, 0.249), Re at (0.000, 0.500, 0.743) and Tc at (0.000, 0.000, 0.503).



No. 9
Material: ZnReTc2
Method: DFT, PBE-GGA
State: optimized geometry

For the volume, the calculation gives 14.57 A^3/atom. The value obtained for the total energy is -133.3 eV per cell. The calculation puts the formation energy at 0.283 eV/atom.

It has space group F-43m (No. 216), with a = 6.154 Å, b = 6.154 Å, c = 6.154 Å, α = 90.00°, β = 90.00° and γ = 90.00°. Symmetry generates all atoms from Zn at (0.000, 0.000, 0.000), Re at (0.250, 0.250, 0.750), Tc at (0.000, 0.000, 0.500) and Tc at (0.250, 0.250, 0.250).



No. 10
Material: ZnRe2Tc
Method: DFT, PBE-GGA
State: optimized geometry

For the volume, the calculation gives 14.61 A^3/atom. The value obtained for the total energy is -71.8 eV per cell. The calculation puts the formation energy at 0.155 eV/atom.

It has space group Immm (No. 71), with a = 3.083 Å, b = 4.294 Å, c = 8.826 Å, α = 90.00°, β = 90.00° and γ = 90.00°. Symmetry generates all atoms from Zn at (0.000, 0.000, 0.000), Re at (0.000, 0.500, 0.248) and Tc at (0.000, 0.000, 0.500).



No. 11
Material: ZnRe2Tc
Method: DFT, PBE-GGA
State: optimized geometry

For the volume, the calculation gives 14.59 A^3/atom. The value obtained for the total energy is -71.4 eV per cell. The calculation puts the formation energy at 0.205 eV/atom.

It has space group Imm2 (No. 44), with a = 3.095 Å, b = 4.310 Å, c = 8.747 Å, α = 90.00°, β = 90.00° and γ = 90.00°. Symmetry generates all atoms from Zn at (0.000, 0.000, 0.000), Re at (0.000, 0.000, 0.501), Re at (0.000, 0.500, 0.247) and Tc at (0.000, 0.500, 0.752).



No. 12
Material: Zn2ReTc
Method: DFT, PBE-GGA
State: optimized geometry

For the volume, the calculation gives 15.55 A^3/atom. The value obtained for the total energy is -88.4 eV per cell. The calculation puts the formation energy at 0.814 eV/atom.

It has space group I-42d (No. 122), with a = 6.956 Å, b = 6.956 Å, c = 5.142 Å, α = 90.00°, β = 90.00° and γ = 90.00°. Symmetry generates all atoms from Zn at (0.249, 0.750, 0.125), Re at (0.000, 0.000, 0.500) and Tc at (0.000, 0.000, 0.000).